[1]
Crystalline Cu2Ag7 at its relaxed geometry, computed with PBE.

Cell lengths 13.2791, 13.2791, 13.2791 Å; angles 167.46, 162.78, 21.36 degrees
Fractional positions:
Cu  0.1686  0.1686  0.0000
Cu  0.8314  0.8314  0.0000
Ag  0.7219  0.7219  0.0000
Ag  0.0585  0.0585  0.0000
Ag  0.5000  0.5000  0.0000
Ag  0.2781  0.2781  0.0000
Ag  0.3839  0.3839  0.0000
Ag  0.9415  0.9415  0.0000
Ag  0.6161  0.6161  0.0000

Summary:
Its formation energy is 0.062 eV per atom. Its calculated volume is 16.7 A^3/atom. Its symmetry is No. 71. As for the distance to the lowest polymorph of the same formula: 0.035 eV per atom.

[2]
Crystalline Cu3Ag2 at its relaxed geometry, computed with PBE.

Cell lengths 5.8495, 5.8495, 9.1498 Å; angles 99.52, 99.52, 27.67 degrees
Fractional positions:
Cu  0.1122  0.1122  0.3100
Cu  0.9934  0.9934  0.9837
Cu  0.2005  0.2005  0.6039
Cu  0.6085  0.6085  0.7992
Cu  0.2951  0.2951  0.8997
Cu  0.7924  0.7924  0.4070
Ag  0.4077  0.4077  0.1962
Ag  0.5038  0.5038  0.4977
Ag  0.8973  0.8973  0.7058
Ag  0.6890  0.6890  0.0967

Summary:
Its formation energy is 0.097 eV per atom. Its calculated volume is 14.3 A^3/atom. Its symmetry is No. 8. As for the distance to the lowest polymorph of the same formula: 0.055 eV per atom.

[3]
Crystalline CuAg2 at its relaxed geometry, computed with PBE.

Cell lengths 17.2169, 17.2169, 17.2169 Å; angles 170.35, 170.35, 13.66 degrees
Fractional positions:
Cu  0.0000  0.0000  0.0000
Cu  0.5424  0.5424  0.0000
Cu  0.4576  0.4576  0.0000
Ag  0.7809  0.7809  0.0000
Ag  0.3427  0.3427  0.0000
Ag  0.0954  0.0954  0.0000
Ag  0.9046  0.9046  0.0000
Ag  0.6573  0.6573  0.0000
Ag  0.2191  0.2191  0.0000

Summary:
Its formation energy is 0.031 eV per atom. Its calculated volume is 15.9 A^3/atom. Its symmetry is No. 139. As for the distance to the lowest polymorph of the same formula: 0.000 eV per atom.

[4]
Crystalline CuAg at its relaxed geometry, computed with PBE.

Cell lengths 7.5000, 7.5000, 7.5137 Å; angles 105.27, 105.27, 21.56 degrees
Fractional positions:
Cu  0.0121  0.0121  0.0177
Cu  0.0028  0.0028  0.4879
Cu  0.7886  0.7886  0.9097
Cu  0.6005  0.6005  0.2896
Cu  0.1967  0.1967  0.1009
Ag  0.5958  0.5958  0.8042
Ag  0.3995  0.3995  0.7247
Ag  0.1965  0.1965  0.5938
Ag  0.8022  0.8022  0.3892
Ag  0.4055  0.4055  0.1822

Summary:
Its formation energy is 0.099 eV per atom. Its calculated volume is 15.0 A^3/atom. Its symmetry is No. 8.